Computed, not measured: an optimized crystal structure of Li5Fe4O8 at the PBE+U level of DFT. Values from VASP.

Values from the calculation:
* E: -5.871 eV per atom
* crystal system: trigonal

Cell and atoms, written as Quantum ESPRESSO input:
```
&SYSTEM
  ibrav = 0, nat = 17, ntyp = 3
/
ATOMIC_SPECIES
Li 6.94 Li.upf
Fe 55.84 Fe.upf
O 16.00 O.upf
ATOMIC_POSITIONS crystal
Li 0.000 0.000 0.000
Li 0.366 0.366 0.366
Li 0.430 0.842 0.842
Li 0.842 0.430 0.842
Li 0.842 0.842 0.430
Fe 0.366 0.366 0.866
Fe 0.366 0.866 0.366
Fe 0.854 0.854 0.854
Fe 0.866 0.366 0.366
O 0.109 0.109 0.605
O 0.109 0.605 0.109
O 0.124 0.124 0.124
O 0.136 0.613 0.613
O 0.605 0.109 0.109
O 0.611 0.611 0.611
O 0.613 0.136 0.613
O 0.613 0.613 0.136
CELL_PARAMETERS angstrom
3.028 1.748 4.966
-3.028 1.748 4.966
0.000 -3.497 4.966
```



Computed, not measured: an optimized crystal structure of Li5FeO4 at the PBE+U level of DFT. Values from VASP.

Values from the calculation:
* crystal system: triclinic
* energy relative to the lowest polymorph listed for this composition: 57.4 meV/atom

Cell and atoms, written as Quantum ESPRESSO input:
```
&SYSTEM
  ibrav = 0, nat = 40, ntyp = 3
/
ATOMIC_SPECIES
Li 6.94 Li.upf
Fe 55.84 Fe.upf
O 16.00 O.upf
ATOMIC_POSITIONS crystal
Li 0.000 0.000 0.000
Li 0.000 0.271 0.833
Li 0.024 0.506 0.343
Li 0.124 0.508 0.958
Li 0.192 0.287 0.102
Li 0.242 0.733 0.085
Li 0.314 0.777 0.725
Li 0.397 0.282 0.365
Li 0.404 0.734 0.369
Li 0.407 0.003 0.862
Li 0.489 0.010 0.513
Li 0.519 0.498 0.820
Li 0.593 0.224 0.974
Li 0.621 0.501 0.463
Li 0.696 0.277 0.607
Li 0.725 0.730 0.593
Li 0.812 0.226 0.237
Li 0.831 0.789 0.232
Li 0.895 0.722 0.866
Li 0.957 0.012 0.395
Fe 0.184 0.493 0.602
Fe 0.341 0.008 0.215
Fe 0.683 0.515 0.105
Fe 0.837 0.997 0.724
O 0.093 0.981 0.814
O 0.134 0.228 0.280
O 0.148 0.782 0.276
O 0.153 0.520 0.783
O 0.343 0.024 0.044
O 0.399 0.717 0.544
O 0.405 0.291 0.533
O 0.416 0.488 0.025
O 0.601 0.005 0.302
O 0.628 0.777 0.782
O 0.653 0.507 0.282
O 0.667 0.229 0.796
O 0.814 0.006 0.559
O 0.885 0.286 0.043
O 0.908 0.500 0.528
O 0.909 0.721 0.048
CELL_PARAMETERS angstrom
5.599 0.000 0.000
0.052 6.803 0.000
2.464 0.073 10.747
```



Computed, not measured: an optimized crystal structure of Li3FeO3 at the PBE+U level of DFT. Values from VASP.

Values from the calculation:
* crystal system: tetragonal
* energy relative to the lowest polymorph listed for this composition: 44.3 meV/atom

Cell and atoms, written as Quantum ESPRESSO input:
```
&SYSTEM
  ibrav = 0, nat = 28, ntyp = 3
/
ATOMIC_SPECIES
Li 6.94 Li.upf
Fe 55.84 Fe.upf
O 16.00 O.upf
ATOMIC_POSITIONS crystal
Li 0.101 0.359 0.000
Li 0.141 0.601 0.500
Li 0.168 0.168 0.500
Li 0.332 0.668 0.000
Li 0.359 0.101 0.000
Li 0.399 0.859 0.500
Li 0.601 0.141 0.500
Li 0.641 0.899 0.000
Li 0.668 0.332 0.000
Li 0.832 0.832 0.500
Li 0.859 0.399 0.500
Li 0.899 0.641 0.000
Fe 0.115 0.885 0.000
Fe 0.385 0.385 0.500
Fe 0.615 0.615 0.500
Fe 0.885 0.115 0.000
O 0.102 0.102 0.000
O 0.112 0.678 0.000
O 0.178 0.388 0.500
O 0.322 0.888 0.000
O 0.388 0.178 0.500
O 0.398 0.602 0.500
O 0.602 0.398 0.500
O 0.612 0.822 0.500
O 0.678 0.112 0.000
O 0.822 0.612 0.500
O 0.888 0.322 0.000
O 0.898 0.898 0.000
CELL_PARAMETERS angstrom
8.899 0.000 0.000
0.000 8.899 0.000
0.000 0.000 3.619
```



What did we get for magnetic moment? Answer: 19.01; 20.00; 12.00 Bohr magnetons per cell, in the order shown.
What did we get for V? Answer: 9.28; 10.23; 10.23 Å³/atom, in the order shown.